# 1
! Mg2Ga4Sn, optimized geometry, DFT PBE; values from VASP
! E in eV per cell: -39.25
! Spin magnetization in μB per atom: 0.000
! Energy of formation in eV/f.u.: -0.3
! Energy above the lowest structure with this stoichiometry in meV/atom: 0
&SYSTEM
  ibrav = 0, nat = 14, ntyp = 3
/
ATOMIC_SPECIES
Mg 24.30 Mg.upf
Ga 69.72 Ga.upf
Sn 118.71 Sn.upf
ATOMIC_POSITIONS angstrom
Mg 0.000 0.000 0.000
Mg -1.581 4.506 3.085
Mg 1.220 1.028 4.108
Mg 1.492 4.680 4.008
Ga -1.498 0.584 5.370
Ga 0.443 -1.190 6.065
Ga 2.439 -0.051 1.661
Ga -0.123 2.949 5.669
Ga 2.613 4.606 1.198
Ga 3.296 2.355 2.626
Ga 5.244 0.515 2.646
Ga 3.575 2.849 5.216
Sn 0.471 2.712 1.614
Sn 2.261 0.944 6.982
CELL_PARAMETERS angstrom
6.608 0.000 0.000
-2.096 6.295 0.000
-2.256 -1.673 7.096

---

# 2
! MgGaSn2, optimized geometry, DFT PBE; values from VASP
! E in eV per cell: -12.72
! Spin magnetization in μB per atom: 0.000
! Energy of formation in eV/f.u.: -0.1
! Energy above the lowest structure with this stoichiometry in meV/atom: 17
&SYSTEM
  ibrav = 0, nat = 4, ntyp = 3
/
ATOMIC_SPECIES
Mg 24.30 Mg.upf
Ga 69.72 Ga.upf
Sn 118.71 Sn.upf
ATOMIC_POSITIONS angstrom
Mg 0.000 0.000 0.000
Ga 0.000 0.000 3.680
Sn 1.800 1.800 1.878
Sn 1.800 1.800 5.481
CELL_PARAMETERS angstrom
3.599 0.000 0.000
0.000 3.599 0.000
0.000 0.000 7.359

---

# 3
! Mg7Ga2Sn3, optimized geometry, DFT PBE; values from VASP
! E in eV per cell: -28.83
! Spin magnetization in μB per atom: 0.000
! Energy of formation in eV/f.u.: 0.4
&SYSTEM
  ibrav = 0, nat = 12, ntyp = 3
/
ATOMIC_SPECIES
Mg 24.30 Mg.upf
Ga 69.72 Ga.upf
Sn 118.71 Sn.upf
ATOMIC_POSITIONS angstrom
Mg 0.000 0.000 0.000
Mg 2.240 13.182 2.183
Mg 2.240 8.768 0.000
Mg 2.240 2.344 0.000
Mg 2.240 -2.344 0.000
Mg 2.240 -8.768 0.000
Mg 2.240 -13.182 2.183
Ga 2.240 11.424 0.000
Ga 2.240 -11.424 0.000
Sn 2.240 6.492 2.183
Sn 2.240 0.000 2.183
Sn 2.240 -6.492 2.183
CELL_PARAMETERS angstrom
2.240 -15.462 0.000
2.240 15.462 0.000
0.000 0.000 4.367